This record from Alexandria describes an optimized crystal structure of Rb3MnCl7. The functional is PBE.

As for the total energy: -3.756 eV per atom. The formation energy without anion corrections is -1.48 eV/atom.

Cell lengths 6.975, 9.841, 9.841 Å; angles 90.00, 90.00, 90.00 degrees
Site moments in Bohr magnetons follow the coordinates.
Fractional coordinates of all 22 atoms:
Rb 0.500 0.178 0.678  0.00
Rb 0.500 0.678 0.822  0.00
Rb 0.500 0.322 0.178  0.00
Rb 0.500 0.822 0.322  0.00
Rb 0.000 0.500 0.500  0.00
Rb 0.000 0.000 0.000  0.00
Mn 0.000 0.000 0.500  2.90
Mn 0.000 0.500 0.000  2.90
Cl 0.767 0.385 0.885  -0.01
Cl 0.767 0.615 0.115  -0.01
Cl 0.767 0.115 0.385  -0.01
Cl 0.767 0.885 0.615  -0.01
Cl 0.233 0.385 0.885  -0.01
Cl 0.233 0.885 0.615  -0.01
Cl 0.233 0.115 0.385  -0.01
Cl 0.233 0.615 0.115  -0.01
Cl 0.500 0.000 0.000  0.11
Cl 0.500 0.500 0.500  0.11
Cl 0.000 0.836 0.336  -0.01
Cl 0.000 0.336 0.164  -0.01
Cl 0.000 0.664 0.836  -0.01
Cl 0.000 0.164 0.664  -0.01

=====

This record from Alexandria describes an optimized crystal structure of Rb2MnCl. The functional is PBE.

As for the total energy: -3.287 eV per atom. The value obtained for the distance to the lowest polymorph of the same formula is 9.0 kJ per mole of atoms. The formation energy without anion corrections is -0.05 eV/atom.

Cell lengths 6.143, 6.143, 6.143 Å; angles 60.00, 60.00, 60.00 degrees
Site moments in Bohr magnetons follow the coordinates.
Fractional coordinates of all 4 atoms:
Mn 0.500 0.500 0.500  4.03
Rb 0.250 0.250 0.250  0.00
Rb 0.750 0.750 0.750  0.00
Cl 0.000 0.000 0.000  0.00

=====

This record from Alexandria describes an optimized crystal structure of Rb2Mn2Cl7. The functional is PBE.

As for the total energy: -4.371 eV per atom. The value obtained for the distance to the lowest polymorph of the same formula is 0.4 kJ per mole of atoms. The formation energy without anion corrections is -1.35 eV/atom.

Cell lengths 5.868, 8.557, 8.557 Å; angles 105.79, 94.50, 94.50 degrees
Site moments in Bohr magnetons follow the coordinates.
Fractional coordinates of all 11 atoms:
Rb 0.500 0.299 0.701  0.00
Rb 0.500 0.701 0.299  0.00
Mn 0.924 0.219 0.219  3.96
Mn 0.076 0.781 0.781  3.96
Cl 0.238 0.919 0.620  0.04
Cl 0.762 0.380 0.081  0.04
Cl 0.762 0.081 0.380  0.04
Cl 0.238 0.620 0.919  0.04
Cl 0.000 0.000 0.000  0.03
Cl 0.777 0.618 0.618  0.05
Cl 0.223 0.382 0.382  0.05

=====

This record from Alexandria describes an optimized crystal structure of RbMn3Cl7. The functional is PBE.

As for the total energy: -4.961 eV per atom. The formation energy without anion corrections is -1.20 eV/atom.

Cell lengths 7.032, 6.540, 7.032 Å; angles 94.42, 77.70, 94.42 degrees
Site moments in Bohr magnetons follow the coordinates.
Fractional coordinates of all 11 atoms:
Rb 0.500 0.500 0.500  0.00
Mn 0.203 0.000 0.797  4.42
Mn 0.000 0.500 0.000  4.46
Mn 0.797 0.000 0.203  4.42
Cl 0.867 0.806 0.867  0.10
Cl 0.923 0.713 0.323  0.07
Cl 0.677 0.287 0.077  0.07
Cl 0.323 0.713 0.923  0.07
Cl 0.500 0.000 0.500  0.05
Cl 0.077 0.287 0.677  0.07
Cl 0.133 0.194 0.133  0.10

=====

total energy of number 3 (Rb2Mn2Cl7)?
-4.371 eV per atom

=====

Among the records above, which one has the highest formation energy without anion corrections?
Rb2MnCl